No. 1
This record from the Open Quantum Materials Database describes crystalline NaPmS2 at its relaxed geometry. The functional is PBE.

Summary:
Raw total energy (eV for the cell shown): -43.01
Symmetry: No. 141
Crystal system: tetragonal
Magnetization (μB/cell): 0.0

Structure (extended XYZ):
```
8
Lattice="-2.835 2.835 5.950 2.835 -2.835 5.950 2.835 2.835 -5.950" Properties=species:S:1:pos:R:3 pbc="T T T"
Na 2.835 1.418 1.488
Na 0.000 1.418 4.463
Pm 2.835 -1.418 4.463
Pm 0.000 4.253 1.488
S 2.835 1.418 -1.656
S 0.000 1.418 1.319
S 2.835 1.418 4.631
S 0.000 1.418 7.606
```



No. 2
This record from the Open Quantum Materials Database describes crystalline ScAlCoAu at its relaxed geometry. The functional is PBE.

Summary:
Polymorph energy (0 for the lowest one) (meV per atom): 0
Symmetry: No. 216
Crystal system: cubic
Magnetization (μB/cell): 0.8

Structure (extended XYZ):
```
4
Lattice="0.000 3.159 3.159 3.159 0.000 3.159 3.159 3.159 0.000" Properties=species:S:1:pos:R:3 pbc="T T T"
Sc 0.000 0.000 0.000
Al 3.159 3.159 3.159
Co 4.738 4.738 4.738
Au 1.579 1.579 1.579
```



No. 3
This record from the Open Quantum Materials Database describes crystalline ErAuSeO at its relaxed geometry. The functional is PBE.

Summary:
Polymorph energy (0 for the lowest one) (meV per atom): 97
Symmetry: No. 57
Crystal system: orthorhombic
Magnetization (μB/cell): 0.0

Structure (extended XYZ):
```
16
Lattice="9.499 0.000 0.000 0.000 5.532 0.000 0.000 0.000 5.532" Properties=species:S:1:pos:R:3 pbc="T T T"
Er 1.090 0.001 1.383
Er 1.090 2.765 4.149
Er 8.408 5.531 4.149
Er 8.408 2.767 1.383
Au 4.718 1.383 0.000
Au 4.718 1.383 2.766
Au 4.780 4.149 0.000
Au 4.780 4.149 2.766
Se 2.668 2.778 1.383
Se 2.668 5.520 4.149
Se 6.831 0.012 1.383
Se 6.831 2.754 4.149
O 0.001 1.383 0.000
O 0.001 1.383 2.766
O 9.497 4.149 0.000
O 9.497 4.149 2.766
```



No. 4
This record from the Open Quantum Materials Database describes crystalline KBaPu at its relaxed geometry. The functional is PBE.

Summary:
Raw total energy (eV for the cell shown): -14.07
Symmetry: No. 216
Crystal system: cubic
Magnetization (μB/cell): 7.8

Structure (extended XYZ):
```
3
Lattice="0.000 4.284 4.284 4.284 0.000 4.284 4.284 4.284 0.000" Properties=species:S:1:pos:R:3 pbc="T T T"
K 0.000 0.000 0.000
Ba 2.142 2.142 2.142
Pu 4.284 4.284 4.284
```



No. 5
This record from the Open Quantum Materials Database describes crystalline DyHgB at its relaxed geometry. The functional is PBE.

Summary:
Polymorph energy (0 for the lowest one) (meV per atom): 673
Symmetry: No. 63
Crystal system: orthorhombic
Magnetization (μB/cell): 0.2

Structure (extended XYZ):
```
6
Lattice="1.883 -5.842 0.000 1.883 5.842 0.000 0.000 0.000 6.577" Properties=species:S:1:pos:R:3 pbc="T T T"
Dy 1.883 3.895 4.933
Dy 1.883 -3.895 1.644
Hg 1.883 4.383 1.644
Hg 1.883 -4.383 4.933
B 0.000 0.000 0.000
B 0.000 0.000 3.289
```



No. 6
This record from the Open Quantum Materials Database describes crystalline PrCo4B4 at its relaxed geometry. The functional is PBE.

Summary:
Raw total energy (eV for the cell shown): -127.89
Symmetry: No. 86
Crystal system: tetragonal
Magnetization (μB/cell): 0.0

Structure (extended XYZ):
```
18
Lattice="7.087 0.000 0.000 0.000 7.087 0.000 0.000 0.000 3.798" Properties=species:S:1:pos:R:3 pbc="T T T"
Pr 1.772 1.772 0.949
Pr 5.316 5.316 2.848
Co 0.762 6.132 0.546
Co 0.956 4.305 2.444
Co 2.588 6.326 2.444
Co 2.782 4.499 0.546
Co 4.305 2.588 3.252
Co 4.499 0.762 1.353
Co 6.132 2.782 1.353
Co 6.326 0.956 3.252
B 0.331 4.168 0.556
B 0.624 6.757 2.454
B 2.919 3.874 2.454
B 3.213 6.463 0.556
B 3.874 0.624 3.242
B 4.168 3.213 1.343
B 6.463 0.331 1.343
B 6.757 2.919 3.242
```



No. 7
This record from the Open Quantum Materials Database describes crystalline InBi5Pd3 at its relaxed geometry. The functional is PBE.

Summary:
Raw total energy (eV for the cell shown): -39.82
Symmetry: No. 191
Crystal system: hexagonal

Structure (extended XYZ):
```
9
Lattice="5.745 0.000 0.000 -2.872 4.975 0.000 0.000 0.000 8.347" Properties=species:S:1:pos:R:3 pbc="T T T"
In 0.000 0.000 0.000
Bi 0.000 0.000 4.173
Bi 0.000 3.317 1.786
Bi 0.000 3.317 6.561
Bi 2.872 1.658 1.786
Bi 2.872 1.658 6.561
Pd -1.436 2.487 4.173
Pd 2.872 0.000 4.173
Pd 1.436 2.487 4.173
```



No. 8
This record from the Open Quantum Materials Database describes crystalline Gd2GaCo at its relaxed geometry. The functional is PBE.

Summary:
Raw total energy (eV for the cell shown): -20.89
Symmetry: No. 38
Crystal system: orthorhombic
Magnetization (μB/cell): 0.0

Structure (extended XYZ):
```
4
Lattice="4.159 0.000 0.000 0.000 2.005 5.342 0.000 -2.005 5.342" Properties=species:S:1:pos:R:3 pbc="T T T"
Gd 0.000 0.000 0.000
Gd 2.079 0.000 3.028
Ga 0.000 0.000 7.528
Co 2.079 0.000 6.118
```



> Which formula does entry 4 have?

KBaPu